A relaxed Cs2CaWO crystal. Source: the Alexandria database, functional PBE with a Hubbard U.

The space group is P4/mmm (No. 123) and the conventional cell measures 8.1684, 8.1684 and 3.9211 Å, with angles of 90.00, 90.00 and 90.00 degrees. The asymmetric unit holds Cs at (0.0000, 0.5000, 0.0000), Ca at (0.0000, 0.0000, 0.5000), W at (0.5000, 0.5000, 0.0000) and O at (0.5000, 0.5000, 0.5000).

The value obtained for the density is 3.21 g/cm³. For the total energy, the calculation gives -3.12 eV per atom.